# PBE VPN2, relaxed
# Calculated total energy ... -93.581 eV/cell
# M_tot ... 0.0 μB/f.u.
# Formation energy (no corrections) ... -0.004 eV per atom
# ρ ... 4.840 g cm⁻³
data_VPN2
_symmetry_space_group_name_H-M 'R -3 m'
_symmetry_Int_Tables_number 166
_symmetry_space_group_name_Hall '-R 3 2"'
_cell_length_a 2.6859
_cell_length_b 2.6859
_cell_length_c 18.1104
_cell_angle_alpha 90.00
_cell_angle_beta 90.00
_cell_angle_gamma 120.00
loop_
_atom_site_label
_atom_site_fract_x
_atom_site_fract_y
_atom_site_fract_z
V1 0.0000 0.0000 0.0000
P1 0.0000 0.0000 0.5000
N1 0.0000 0.0000 0.1134

---

# PBE V2P2N, relaxed
# Calculated total energy ... -71.218 eV/cell
# M_tot ... 0.0 μB/f.u.
# Formation energy (no corrections) ... 0.355 eV per atom
# ρ ... 4.858 g cm⁻³
data_V2P2N
_symmetry_space_group_name_H-M 'P 4/m b m'
_symmetry_Int_Tables_number 127
_symmetry_space_group_name_Hall '-P 4 2ab'
_cell_length_a 6.261
_cell_length_b 6.261
_cell_length_c 3.101
_cell_angle_alpha 90.00
_cell_angle_beta 90.00
_cell_angle_gamma 90.00
loop_
_atom_site_label
_atom_site_fract_x
_atom_site_fract_y
_atom_site_fract_z
V1 0.163 0.337 0.000
P1 0.137 0.637 0.500
N1 0.000 0.000 0.500

---

# PBE V2P2N, relaxed
# Calculated total energy ... -71.316 eV/cell
# M_tot ... 0.0 μB/f.u.
# Formation energy (no corrections) ... 0.345 eV per atom
# ρ ... 4.446 g cm⁻³
data_V2P2N
_symmetry_space_group_name_H-M 'I 4/m m m'
_symmetry_Int_Tables_number 139
_symmetry_space_group_name_Hall '-I 4 2'
_cell_length_a 4.676
_cell_length_b 4.676
_cell_length_c 6.076
_cell_angle_alpha 90.00
_cell_angle_beta 90.00
_cell_angle_gamma 90.00
loop_
_atom_site_label
_atom_site_fract_x
_atom_site_fract_y
_atom_site_fract_z
V1 0.000 0.500 0.250
P1 0.000 0.000 0.208
N1 0.000 0.000 0.500

---

# PBE V4P2N, relaxed
# Calculated total energy ... -123.859 eV/cell
# M_tot ... 0.0 μB/f.u.
# Formation energy (no corrections) ... -0.901 eV per atom
# ρ ... 5.521 g cm⁻³
data_V4P2N
_symmetry_space_group_name_H-M 'P b a m'
_symmetry_Int_Tables_number 55
_cell_length_a 6.076
_cell_length_b 8.990
_cell_length_c 3.080
_cell_angle_alpha 90.00
_cell_angle_beta 90.00
_cell_angle_gamma 90.00
loop_
_symmetry_equiv_pos_as_xyz
'x,y,z'
'-x,-y,-z'
'-x,-y,z'
'x,y,-z'
'x+1/2,-y+1/2,-z'
'-x+1/2,y+1/2,z'
'-x+1/2,y+1/2,-z'
'x+1/2,-y+1/2,z'
loop_
_atom_site_label
_atom_site_fract_x
_atom_site_fract_y
_atom_site_fract_z
V1 0.139 0.198 0.000
V2 0.192 0.932 0.500
P1 0.066 0.651 0.500
N1 0.000 0.000 0.000

---

# PBE V3PN, relaxed
# Calculated total energy ... -177.177 eV/cell
# M_tot ... 0.0 μB/f.u.
# Formation energy (no corrections) ... -0.641 eV per atom
# ρ ... 5.632 g cm⁻³
data_V3PN
_symmetry_space_group_name_H-M 'C m m m'
_symmetry_Int_Tables_number 65
_symmetry_space_group_name_Hall '-C 2 2'
_cell_length_a 5.242
_cell_length_b 11.406
_cell_length_c 3.902
_cell_angle_alpha 90.00
_cell_angle_beta 90.00
_cell_angle_gamma 90.00
loop_
_atom_site_label
_atom_site_fract_x
_atom_site_fract_y
_atom_site_fract_z
V1 0.000 0.139 0.000
V2 0.235 0.500 0.500
V3 0.250 0.250 0.500
P1 0.000 0.364 0.000
N1 0.000 0.118 0.500

---

# PBE V4PN, relaxed
# Calculated total energy ... -211.631 eV/cell
# M_tot ... 0.0 μB/f.u.
# Formation energy (no corrections) ... -0.450 eV per atom
# ρ ... 5.211 g cm⁻³
data_V4PN
_symmetry_space_group_name_H-M 'I 41 m d'
_symmetry_Int_Tables_number 109
_symmetry_space_group_name_Hall 'I 4bw -2'
_cell_length_a 6.883
_cell_length_b 6.883
_cell_length_c 6.691
_cell_angle_alpha 90.00
_cell_angle_beta 90.00
_cell_angle_gamma 90.00
loop_
_atom_site_label
_atom_site_fract_x
_atom_site_fract_y
_atom_site_fract_z
V1 0.000 0.181 0.000
V2 0.000 0.211 0.437
P1 0.000 0.000 0.705
N1 0.000 0.000 0.235

---

# PBE VPN2, relaxed
# Calculated total energy ... -125.681 eV/cell
# M_tot ... 1.6 μB/f.u.
# Formation energy (no corrections) ... -0.060 eV per atom
# ρ ... 4.597 g cm⁻³
data_VPN2
_symmetry_space_group_name_H-M 'I -4 2 d'
_symmetry_Int_Tables_number 122
_symmetry_space_group_name_Hall 'I -4 2bw'
_cell_length_a 4.454
_cell_length_b 4.454
_cell_length_c 8.008
_cell_angle_alpha 90.00
_cell_angle_beta 90.00
_cell_angle_gamma 90.00
loop_
_atom_site_label
_atom_site_fract_x
_atom_site_fract_y
_atom_site_fract_z
V1 0.000 0.000 0.000
P1 0.000 0.000 0.500
N1 0.178 0.250 0.625

---

# PBE V5P2N, relaxed
# Calculated total energy ... -143.713 eV/cell
# M_tot ... 0.0 μB/f.u.
# Formation energy (no corrections) ... -0.890 eV per atom
# ρ ... 5.886 g cm⁻³
data_V5P2N
_symmetry_space_group_name_H-M 'P b a m'
_symmetry_Int_Tables_number 55
_cell_length_a 6.517
_cell_length_b 9.195
_cell_length_c 3.114
_cell_angle_alpha 90.00
_cell_angle_beta 90.00
_cell_angle_gamma 90.00
loop_
_symmetry_equiv_pos_as_xyz
'x,y,z'
'-x,-y,-z'
'-x,-y,z'
'x,y,-z'
'x+1/2,-y+1/2,-z'
'-x+1/2,y+1/2,z'
'-x+1/2,y+1/2,-z'
'x+1/2,-y+1/2,z'
loop_
_atom_site_label
_atom_site_fract_x
_atom_site_fract_y
_atom_site_fract_z
V1 0.000 0.000 0.000
V2 0.133 0.307 0.000
V3 0.186 0.565 0.500
P1 0.084 0.821 0.500
N1 0.000 0.500 0.000

---

# PBE V6P3N, relaxed
# Calculated total energy ... -170.011 eV/cell
# M_tot ... 0.0 μB/f.u.
# Formation energy (no corrections) ... -0.574 eV per atom
# ρ ... 5.233 g cm⁻³
data_V6P3N
_symmetry_space_group_name_H-M 'C 1 2/m 1'
_symmetry_Int_Tables_number 12
_cell_length_a 9.982
_cell_length_b 5.117
_cell_length_c 6.236
_cell_angle_alpha 90.00
_cell_angle_beta 124.71
_cell_angle_gamma 90.00
loop_
_symmetry_equiv_pos_as_xyz
'x,y,z'
'-x,-y,-z'
'-x,y,-z'
'x,-y,z'
'x+1/2,y+1/2,z'
'-x+1/2,-y+1/2,-z'
'-x+1/2,y+1/2,-z'
'x+1/2,-y+1/2,z'
loop_
_atom_site_label
_atom_site_fract_x
_atom_site_fract_y
_atom_site_fract_z
V1 0.082 0.248 0.363
V2 0.230 0.500 0.841
P1 0.000 0.000 0.000
P2 0.240 0.500 0.239
N1 0.000 0.500 0.500

---

# PBE V3PN, relaxed
# Calculated total energy ... -44.205 eV/cell
# M_tot ... 0.0 μB/f.u.
# Formation energy (no corrections) ... -0.623 eV per atom
# ρ ... 5.620 g cm⁻³
data_V3PN
_symmetry_space_group_name_H-M 'P m -3 m'
_symmetry_Int_Tables_number 221
_symmetry_space_group_name_Hall '-P 4 2 3'
_cell_length_a 3.881
_cell_length_b 3.881
_cell_length_c 3.881
_cell_angle_alpha 90.00
_cell_angle_beta 90.00
_cell_angle_gamma 90.00
loop_
_atom_site_label
_atom_site_fract_x
_atom_site_fract_y
_atom_site_fract_z
V1 0.000 0.000 0.500
P1 0.500 0.500 0.500
N1 0.000 0.000 0.000

---

# PBE V4P2N, relaxed
# Calculated total energy ... -120.248 eV/cell
# M_tot ... 2.0 μB/f.u.
# Formation energy (no corrections) ... -0.644 eV per atom
# ρ ... 5.225 g cm⁻³
data_V4P2N
_symmetry_space_group_name_H-M 'I 4/m m m'
_symmetry_Int_Tables_number 139
_symmetry_space_group_name_Hall '-I 4 2'
_cell_length_a 3.808
_cell_length_b 3.808
_cell_length_c 12.265
_cell_angle_alpha 90.00
_cell_angle_beta 90.00
_cell_angle_gamma 90.00
loop_
_atom_site_label
_atom_site_fract_x
_atom_site_fract_y
_atom_site_fract_z
V1 0.000 0.000 0.168
V2 0.000 0.500 0.000
P1 0.000 0.000 0.361
N1 0.000 0.000 0.000

---

# PBE VPN2, relaxed
# Calculated total energy ... -96.921 eV/cell
# M_tot ... 0.0 μB/f.u.
# Formation energy (no corrections) ... -0.282 eV per atom
# ρ ... 4.568 g cm⁻³
data_VPN2
_symmetry_space_group_name_H-M 'R -3 m'
_symmetry_Int_Tables_number 166
_symmetry_space_group_name_Hall '-R 3 2"'
_cell_length_a 2.8106
_cell_length_b 2.8106
_cell_length_c 17.5244
_cell_angle_alpha 90.00
_cell_angle_beta 90.00
_cell_angle_gamma 120.00
loop_
_atom_site_label
_atom_site_fract_x
_atom_site_fract_y
_atom_site_fract_z
V1 0.0000 0.0000 0.0000
P1 0.0000 0.0000 0.5000
N1 0.0000 0.0000 0.4003